Entry 1:
# GePb2S3 PBE optimized geometry
# Energy relative to the elements, uncorrected = -9.0 kcal/mol of atoms
# Polymorph energy (0 for the lowest one) = 17 meV per atom
# Total moment = 0.00 μB per atom
data_GePb2S3
_space_group_name_H-M_alt 'I m m m'
_space_group_IT_number 71
_space_group_name_Hall '-I 2 2'
_cell_length_a 4.086
_cell_length_b 5.839
_cell_length_c 12.438
_cell_angle_alpha 90.00
_cell_angle_beta 90.00
_cell_angle_gamma 90.00
loop_
_atom_site_label
_atom_site_type_symbol
_atom_site_fract_x
_atom_site_fract_y
_atom_site_fract_z
_atom_site_occupancy
Ge1 Ge 0.000 0.000 0.000 1
Pb1 Pb 0.000 0.000 0.332 1
S1 S 0.000 0.500 0.000 1
S2 S 0.000 0.500 0.350 1

Entry 2:
# GePbS2 PBE optimized geometry
# Energy relative to the elements, uncorrected = -8.0 kcal/mol of atoms
# Total moment = 0.00 μB per atom
data_GePbS2
_space_group_name_H-M_alt 'P n m a'
_space_group_IT_number 62
_cell_length_a 13.434
_cell_length_b 3.939
_cell_length_c 8.206
_cell_angle_alpha 90.00
_cell_angle_beta 90.00
_cell_angle_gamma 90.00
loop_
_space_group_symop_operation_xyz
'x,y,z'
'-x,-y,-z'
'-x+1/2,-y,z+1/2'
'x+1/2,y,-z+1/2'
'x+1/2,-y+1/2,-z+1/2'
'-x+1/2,y+1/2,z+1/2'
'-x,y+1/2,-z'
'x,-y+1/2,z'
loop_
_atom_site_label
_atom_site_type_symbol
_atom_site_fract_x
_atom_site_fract_y
_atom_site_fract_z
_atom_site_occupancy
Ge1 Ge 0.001 0.250 0.131 1
Pb1 Pb 0.147 0.250 0.567 1
S1 S 0.052 0.750 0.310 1
S2 S 0.169 0.750 0.809 1

Entry 3:
# GePb2S4 PBE optimized geometry
# Energy relative to the elements, uncorrected = -10.9 kcal/mol of atoms
# Polymorph energy (0 for the lowest one) = 0 meV per atom
# Total moment = 0.00 μB per atom
data_GePb2S4
_space_group_name_H-M_alt 'P 1 21/c 1'
_space_group_IT_number 14
_cell_length_a 8.069
_cell_length_b 9.540
_cell_length_c 10.940
_cell_angle_alpha 90.00
_cell_angle_beta 114.77
_cell_angle_gamma 90.00
loop_
_space_group_symop_operation_xyz
'x,y,z'
'-x,-y,-z'
'-x,y+1/2,-z+1/2'
'x,-y+1/2,z+1/2'
loop_
_atom_site_label
_atom_site_type_symbol
_atom_site_fract_x
_atom_site_fract_y
_atom_site_fract_z
_atom_site_occupancy
Ge1 Ge 0.218 0.190 0.007 1
Pb1 Pb 0.103 0.540 0.853 1
Pb2 Pb 0.458 0.665 0.660 1
S1 S 0.054 0.704 0.094 1
S2 S 0.249 0.024 0.873 1
S3 S 0.288 0.092 0.207 1
S4 S 0.423 0.138 0.555 1

Entry 4:
# GePb2S4 PBE optimized geometry
# Energy relative to the elements, uncorrected = -10.2 kcal/mol of atoms
# Polymorph energy (0 for the lowest one) = 33 meV per atom
# Total moment = 0.00 μB per atom
data_GePb2S4
_space_group_name_H-M_alt 'P 1 21/m 1'
_space_group_IT_number 11
_cell_length_a 6.860
_cell_length_b 6.633
_cell_length_c 8.410
_cell_angle_alpha 90.00
_cell_angle_beta 107.64
_cell_angle_gamma 90.00
loop_
_space_group_symop_operation_xyz
'x,y,z'
'-x,-y,-z'
'-x,y+1/2,-z'
'x,-y+1/2,z'
loop_
_atom_site_label
_atom_site_type_symbol
_atom_site_fract_x
_atom_site_fract_y
_atom_site_fract_z
_atom_site_occupancy
Ge1 Ge 0.219 0.250 0.293 1
Pb1 Pb 0.234 0.750 0.057 1
Pb2 Pb 0.258 0.750 0.560 1
S1 S 0.000 0.007 0.772 1
S2 S 0.393 0.250 0.564 1
S3 S 0.426 0.250 0.135 1

Entry 5:
# Ge2PbS2 PBE optimized geometry
# Energy relative to the elements, uncorrected = 0.9 kcal/mol of atoms
# Polymorph energy (0 for the lowest one) = 13 meV per atom
# Total moment = 0.00 μB per atom
data_Ge2PbS2
_space_group_name_H-M_alt 'P 4/m b m'
_space_group_IT_number 127
_space_group_name_Hall '-P 4 2ab'
_cell_length_a 8.152
_cell_length_b 8.152
_cell_length_c 3.602
_cell_angle_alpha 90.00
_cell_angle_beta 90.00
_cell_angle_gamma 90.00
loop_
_atom_site_label
_atom_site_type_symbol
_atom_site_fract_x
_atom_site_fract_y
_atom_site_fract_z
_atom_site_occupancy
Ge1 Ge 0.153 0.347 0.000 1
Pb1 Pb 0.000 0.000 0.000 1
S1 S 0.206 0.706 0.500 1

Entry 6:
# GePbS2 PBE optimized geometry
# Energy relative to the elements, uncorrected = -3.1 kcal/mol of atoms
# Total moment = 0.00 μB per atom
data_GePbS2
_space_group_name_H-M_alt 'I -4 2 d'
_space_group_IT_number 122
_space_group_name_Hall 'I -4 2bw'
_cell_length_a 6.337
_cell_length_b 6.337
_cell_length_c 12.753
_cell_angle_alpha 90.00
_cell_angle_beta 90.00
_cell_angle_gamma 90.00
loop_
_atom_site_label
_atom_site_type_symbol
_atom_site_fract_x
_atom_site_fract_y
_atom_site_fract_z
_atom_site_occupancy
Ge1 Ge 0.000 0.000 0.000 1
Pb1 Pb 0.000 0.000 0.500 1
S1 S 0.213 0.250 0.125 1

Entry 7:
# GePb2S PBE optimized geometry
# Energy relative to the elements, uncorrected = 3.1 kcal/mol of atoms
# Polymorph energy (0 for the lowest one) = 0 meV per atom
# Total moment = 0.00 μB per atom
data_GePb2S
_space_group_name_H-M_alt 'I -4 2 d'
_space_group_IT_number 122
_space_group_name_Hall 'I -4 2bw'
_cell_length_a 6.343
_cell_length_b 6.343
_cell_length_c 14.018
_cell_angle_alpha 90.00
_cell_angle_beta 90.00
_cell_angle_gamma 90.00
loop_
_atom_site_label
_atom_site_type_symbol
_atom_site_fract_x
_atom_site_fract_y
_atom_site_fract_z
_atom_site_occupancy
Ge1 Ge 0.000 0.000 0.000 1
Pb1 Pb 0.246 0.250 0.625 1
S1 S 0.000 0.000 0.500 1

Entry 8:
# GePbS2 PBE optimized geometry
# Energy relative to the elements, uncorrected = 0.7 kcal/mol of atoms
# Total moment = 0.00 μB per atom
data_GePbS2
_space_group_name_H-M_alt 'R -3 m'
_space_group_IT_number 166
_space_group_name_Hall '-R 3 2"'
_cell_length_a 4.0861
_cell_length_b 4.0861
_cell_length_c 24.3060
_cell_angle_alpha 90.00
_cell_angle_beta 90.00
_cell_angle_gamma 120.00
loop_
_atom_site_label
_atom_site_type_symbol
_atom_site_fract_x
_atom_site_fract_y
_atom_site_fract_z
_atom_site_occupancy
Ge1 Ge 0.0000 0.0000 0.0000 1
Pb1 Pb 0.0000 0.0000 0.5000 1
S1 S 0.0000 0.0000 0.0976 1